Entry 1:
Compound: Li5FeO4
Source: Alexandria
Functional: GGA+U
Structure: optimized geometry

* total energy: -5.276 eV per atom
* volume: 10.17 Å³ per atom
* ΔE to the lowest computed polymorph: 45 meV per atom

Cell: 5.568 6.768 11.337 Å, 90.00 107.84 90.00°
Element x y z (fractional)
Li  0.105  0.037  0.195
Li  0.105  0.463  0.695
Li  0.322  0.749  0.333
Li  0.322  0.751  0.833
Li  0.365  0.536  0.075
Li  0.365  0.964  0.575
Li  0.367  0.523  0.560
Li  0.367  0.977  0.060
Li  0.378  0.203  0.782
Li  0.378  0.297  0.282
Li  0.622  0.703  0.718
Li  0.622  0.797  0.218
Li  0.633  0.023  0.940
Li  0.633  0.477  0.440
Li  0.635  0.036  0.425
Li  0.635  0.464  0.925
Li  0.678  0.249  0.167
Li  0.678  0.251  0.667
Li  0.895  0.537  0.305
Li  0.895  0.963  0.805
Fe  0.112  0.242  0.435
Fe  0.112  0.258  0.935
Fe  0.888  0.742  0.065
Fe  0.888  0.758  0.565
O  0.244  0.726  0.644
O  0.244  0.774  0.144
O  0.253  0.022  0.883
O  0.253  0.478  0.383
O  0.270  0.036  0.375
O  0.270  0.464  0.875
O  0.274  0.245  0.110
O  0.274  0.255  0.610
O  0.726  0.745  0.390
O  0.726  0.755  0.890
O  0.730  0.536  0.125
O  0.730  0.964  0.625
O  0.747  0.522  0.617
O  0.747  0.978  0.117
O  0.756  0.226  0.856
O  0.756  0.274  0.356

Entry 2:
Compound: Li8FeO6
Source: Alexandria
Functional: GGA+U
Structure: optimized geometry

* total energy: -5.099 eV per atom
* volume: 8.57 Å³ per atom
* ΔE to the lowest computed polymorph: 6 meV per atom

Cell: 5.345 5.390 5.841 Å, 62.60 89.89 63.00°
Element x y z (fractional)
Li  0.013  0.258  0.142
Li  0.130  0.692  0.474
Li  0.268  0.135  0.856
Li  0.401  0.583  0.158
Li  0.599  0.417  0.842
Li  0.732  0.865  0.144
Li  0.870  0.308  0.526
Li  0.987  0.742  0.858
Fe  0.500  0.000  0.500
O  0.104  0.484  0.262
O  0.280  0.847  0.738
O  0.397  0.873  0.268
O  0.603  0.127  0.732
O  0.720  0.153  0.262
O  0.896  0.516  0.738

Entry 3:
Compound: LiFeO2
Source: Alexandria
Functional: GGA+U
Structure: optimized geometry

* total energy: -6.047 eV per atom
* volume: 11.57 Å³ per atom

Cell: 5.526 5.526 5.526 Å, 131.55 131.55 70.94°
Element x y z (fractional)
Li  0.000  0.000  0.000
Li  0.750  0.250  0.500
Fe  0.250  0.750  0.500
Fe  0.500  0.500  0.000
O  0.142  0.625  0.017
O  0.375  0.392  0.517
O  0.608  0.125  0.983
O  0.875  0.858  0.483

Entry 4:
Compound: Li2FeO3
Source: Alexandria
Functional: GGA+U
Structure: optimized geometry

* total energy: -5.563 eV per atom
* volume: 8.55 Å³ per atom

Cell: 6.368 6.368 5.897 Å, 103.79 103.79 26.26°
Element x y z (fractional)
Li  0.000  0.000  0.000
Li  0.000  0.000  0.500
Li  0.342  0.342  0.660
Li  0.658  0.658  0.340
Fe  0.338  0.338  0.173
Fe  0.662  0.662  0.827
O  0.171  0.171  0.616
O  0.174  0.174  0.062
O  0.486  0.486  0.241
O  0.514  0.514  0.759
O  0.826  0.826  0.938
O  0.829  0.829  0.384

Entry 5:
Compound: Li3Fe5O12
Source: Alexandria
Functional: GGA+U
Structure: optimized geometry

* total energy: -5.767 eV per atom
* volume: 11.34 Å³ per atom
* ΔE to the lowest computed polymorph: 55 meV per atom

Cell: 10.562 10.562 10.562 Å, 109.47 109.47 109.47°
Element x y z (fractional)
Li  0.125  0.250  0.375
Li  0.125  0.375  0.750
Li  0.250  0.375  0.125
Li  0.250  0.875  0.625
Li  0.375  0.125  0.250
Li  0.375  0.750  0.125
Li  0.625  0.250  0.875
Li  0.625  0.875  0.750
Li  0.750  0.125  0.375
Li  0.750  0.625  0.875
Li  0.875  0.625  0.250
Li  0.875  0.750  0.625
Fe  0.000  0.000  0.000
Fe  0.000  0.000  0.500
Fe  0.000  0.500  0.000
Fe  0.000  0.500  0.500
Fe  0.125  0.750  0.875
Fe  0.125  0.875  0.250
Fe  0.250  0.125  0.875
Fe  0.250  0.625  0.375
Fe  0.375  0.250  0.625
Fe  0.375  0.625  0.750
Fe  0.500  0.000  0.000
Fe  0.500  0.000  0.500
Fe  0.500  0.500  0.000
Fe  0.500  0.500  0.500
Fe  0.625  0.375  0.250
Fe  0.625  0.750  0.375
Fe  0.750  0.375  0.625
Fe  0.750  0.875  0.125
Fe  0.875  0.125  0.750
Fe  0.875  0.250  0.125
O  0.021  0.195  0.124
O  0.021  0.326  0.896
O  0.070  0.695  0.674
O  0.070  0.876  0.396
O  0.104  0.624  0.430
O  0.104  0.979  0.674
O  0.124  0.021  0.195
O  0.124  0.604  0.930
O  0.174  0.195  0.570
O  0.174  0.479  0.604
O  0.195  0.124  0.021
O  0.195  0.570  0.174
O  0.305  0.326  0.930
O  0.305  0.479  0.376
O  0.326  0.896  0.021
O  0.326  0.930  0.305
O  0.376  0.305  0.479
O  0.376  0.570  0.896
O  0.396  0.070  0.876
O  0.396  0.826  0.521
O  0.430  0.104  0.624
O  0.430  0.826  0.805
O  0.479  0.376  0.305
O  0.479  0.604  0.174
O  0.521  0.396  0.826
O  0.521  0.624  0.695
O  0.570  0.174  0.195
O  0.570  0.896  0.376
O  0.604  0.174  0.479
O  0.604  0.930  0.124
O  0.624  0.430  0.104
O  0.624  0.695  0.521
O  0.674  0.070  0.695
O  0.674  0.104  0.979
O  0.695  0.521  0.624
O  0.695  0.674  0.070
O  0.805  0.430  0.826
O  0.805  0.876  0.979
O  0.826  0.521  0.396
O  0.826  0.805  0.430
O  0.876  0.396  0.070
O  0.876  0.979  0.805
O  0.896  0.021  0.326
O  0.896  0.376  0.570
O  0.930  0.124  0.604
O  0.930  0.305  0.326
O  0.979  0.674  0.104
O  0.979  0.805  0.876

Entry 6:
Compound: LiFeO2
Source: Alexandria
Functional: GGA+U
Structure: optimized geometry

* total energy: -5.191 eV per atom
* volume: 11.35 Å³ per atom

Cell: 6.015 6.015 6.015 Å, 29.05 29.05 29.05°
Element x y z (fractional)
Li  0.000  0.000  0.000
Fe  0.500  0.500  0.500
O  0.400  0.400  0.400
O  0.600  0.600  0.600

Entry 7:
Compound: Li3FeO3
Source: Alexandria
Functional: GGA+U
Structure: optimized geometry

* total energy: -5.499 eV per atom
* volume: 10.44 Å³ per atom
* ΔE to the lowest computed polymorph: 0 meV per atom

Cell: 5.897 5.892 8.416 Å, 90.00 90.00 90.00°
Element x y z (fractional)
Li  0.005  0.018  0.249
Li  0.005  0.482  0.249
Li  0.248  0.750  0.976
Li  0.252  0.250  0.476
Li  0.495  0.518  0.749
Li  0.495  0.982  0.749
Li  0.505  0.018  0.251
Li  0.505  0.482  0.251
Li  0.748  0.750  0.524
Li  0.752  0.250  0.024
Li  0.995  0.518  0.751
Li  0.995  0.982  0.751
Fe  0.217  0.250  0.017
Fe  0.283  0.750  0.517
Fe  0.717  0.250  0.483
Fe  0.783  0.750  0.983
O  0.000  0.000  0.000
O  0.000  0.500  0.000
O  0.025  0.750  0.389
O  0.240  0.750  0.738
O  0.260  0.250  0.238
O  0.475  0.250  0.889
O  0.500  0.000  0.500
O  0.500  0.500  0.500
O  0.525  0.750  0.111
O  0.740  0.750  0.762
O  0.760  0.250  0.262
O  0.975  0.250  0.611

Entry 8:
Compound: Li2FeO4
Source: Alexandria
Functional: GGA+U
Structure: optimized geometry

* total energy: -5.174 eV per atom
* volume: 10.71 Å³ per atom

Cell: 5.796 5.796 5.796 Å, 141.48 141.48 55.61°
Element x y z (fractional)
Li  0.135  0.135  0.000
Li  0.865  0.865  0.000
Fe  0.500  0.500  0.000
O  0.000  0.500  0.500
O  0.322  0.322  0.000
O  0.500  0.000  0.500
O  0.678  0.678  0.000